This record from Alexandria describes an optimized crystal structure of Mg4AlAg2. The functional is PBE.

```
7
Lattice="4.4622 0.0000 1.3941 2.0133 3.9821 1.3941 -0.0504 -0.0310 7.9995" Properties=species:S:1:pos:R:3 pbc="T T T"
Mg 2.4519 1.5078 7.8287
Mg 3.9732 2.4434 2.9591
Mg 0.8167 0.5022 5.2241
Mg 5.6084 3.4489 5.5636
Ag 4.7820 2.9407 8.2086
Ag 1.6431 1.0104 2.5791
Al 0.0000 0.0000 0.0000
```

Computed properties:
energy relative to the lowest polymorph listed for this composition	0.00	kJ per mole of atoms
magnetization	0.00	μB per cell



This record from Alexandria describes an optimized crystal structure of MgAlAg5. The functional is PBE.

```
7
Lattice="-4.9999 0.5258 0.8516 0.4077 -5.0764 5.5282 3.2112 5.8179 -0.0044" Properties=species:S:1:pos:R:3 pbc="T T T"
Ag -1.7122 -0.5189 4.7597
Ag 0.5847 1.7595 1.5725
Ag -0.7941 -2.4333 2.9341
Ag -1.9214 -0.6782 1.3061
Ag -1.6562 -3.9791 4.9009
Mg -3.3744 -2.1619 3.3735
Al -4.3455 0.4569 0.7401
```

Computed properties:
energy relative to the lowest polymorph listed for this composition	54.29	kJ per mole of atoms
magnetization	0.00	μB per cell



This record from Alexandria describes an optimized crystal structure of Mg6AlAg5. The functional is PBE.

```
12
Lattice="-3.1365 -1.4943 3.1970 -3.1771 -3.4456 -4.7275 7.2448 -3.1794 2.1354" Properties=species:S:1:pos:R:3 pbc="T T T"
Ag 2.7298 -3.7724 0.9149
Ag -0.2497 -2.5692 2.0404
Ag 1.1810 -5.5501 -1.4356
Ag -1.5886 -1.7228 -2.3638
Ag -1.7986 -4.3469 -0.3100
Mg -2.3860 -1.6340 0.3818
Mg -3.9276 -3.3059 -1.9123
Mg 0.5850 -2.7927 -0.7313
Mg 1.9143 -3.6260 3.6696
Mg 0.3462 -5.3266 1.3362
Mg -0.9831 -4.4933 -3.0648
Al 0.0000 0.0000 0.0000
```

Computed properties:
magnetization	0.00	μB per cell
DFT total energy	-29.87	eV per cell



no.,V (Å³/atom)
1,20.361
2,26.562
3,18.614